Record 1
PdAuF2 | the Alexandria database | GGA-PBE | relaxed; raw formation energy = -494 meV/atom; polymorph energy (0 for the lowest one) = 86.1 meV per atom; symmetry = R-3m
1.0
1.4648 0.8457 7.8659
-1.4648 0.8457 7.8659
0.0000 -1.6914 7.8659
Pd Au F
1 1 2
Direct
0.0000 0.0000 0.0000
0.5000 0.5000 0.5000
0.4119 0.4119 0.4119
0.5881 0.5881 0.5881


Record 2
Pm3NdY4S8 | the Alexandria database | GGA-PBE | relaxed; raw formation energy = -2014 meV/atom; symmetry = R-3m
1.0
3.9615 2.2872 6.5688
-3.9615 2.2872 6.5688
0.0000 -4.5744 6.5688
Pm Nd Y S
3 1 4 8
Direct
0.0000 0.5000 0.5000
0.5000 0.0000 0.5000
0.5000 0.5000 0.0000
0.0000 0.0000 0.0000
0.0000 0.0000 0.5000
0.0000 0.5000 0.0000
0.5000 0.0000 0.0000
0.5000 0.5000 0.5000
0.2460 0.2460 0.2460
0.2470 0.7449 0.7449
0.2551 0.2551 0.7530
0.2551 0.7530 0.2551
0.7449 0.2470 0.7449
0.7449 0.7449 0.2470
0.7530 0.2551 0.2551
0.7540 0.7540 0.7540


Record 3
FeRe4Ag | the Alexandria database | GGA-PBE | relaxed; symmetry = F-43m
1.0
0.0000 3.6648 3.6648
3.6648 0.0000 3.6648
3.6648 3.6648 0.0000
Fe Re Ag
1 4 1
Direct
0.0000 0.0000 0.0000
0.1253 0.6249 0.6249
0.6249 0.1253 0.6249
0.6249 0.6249 0.1253
0.6249 0.6249 0.6249
0.2500 0.2500 0.2500


Record 4
Rb2Cd2Ag | the Alexandria database | GGA-PBE | relaxed; polymorph energy (0 for the lowest one) = 0.0 meV per atom; symmetry = Immm
1.0
-2.5244 3.1195 5.9060
2.5244 -3.1195 5.9060
2.5244 3.1195 -5.9060
Rb Cd Ag
2 2 1
Direct
0.1945 0.1945 0.0000
0.8055 0.8055 0.0000
0.2549 0.5000 0.7549
0.7451 0.5000 0.2451
0.5000 0.0000 0.5000


Record 5
TmSiAu3 | the Alexandria database | GGA-PBE | relaxed; raw formation energy = -516 meV/atom; symmetry = Pnma
1.0
9.0975 0.0000 0.0000
0.0000 4.6815 0.0000
0.0000 0.0000 8.9792
Tm Si Au
4 4 12
Direct
0.2292 0.2500 0.0101
0.2708 0.7500 0.5101
0.7292 0.2500 0.4899
0.7708 0.7500 0.9899
0.1318 0.2500 0.6845
0.3682 0.7500 0.1845
0.6318 0.2500 0.8155
0.8682 0.7500 0.3155
0.0725 0.2500 0.4189
0.0936 0.7500 0.1609
0.1159 0.7500 0.8304
0.3841 0.2500 0.3304
0.4064 0.2500 0.6609
0.4275 0.7500 0.9189
0.5725 0.2500 0.0811
0.5936 0.7500 0.3391
0.6159 0.7500 0.6696
0.8841 0.2500 0.1696
0.9064 0.2500 0.8391
0.9275 0.7500 0.5811


Record 6
TlZnI4 | the Alexandria database | GGA-PBE | relaxed; raw formation energy = -436 meV/atom; symmetry = I-4
1.0
-3.2673 3.2673 6.3771
3.2673 -3.2673 6.3771
3.2673 3.2673 -6.3771
Tl Zn I
1 1 4
Direct
0.0000 0.0000 0.0000
0.2500 0.7500 0.5000
0.1706 0.5976 0.0338
0.4024 0.4362 0.5730
0.5638 0.1368 0.9662
0.8632 0.8294 0.4270


Record 7
NdDyTh3 | the Alexandria database | GGA-PBE | relaxed; symmetry = Imma
1.0
-4.9902 5.9424 3.0032
4.9902 -5.9424 3.0032
4.9902 5.9424 -3.0032
Nd Dy Th
2 2 6
Direct
0.5000 0.0000 0.0000
0.5000 0.5000 0.5000
0.0532 0.3032 0.7500
0.9468 0.6968 0.2500
0.0000 0.0000 0.0000
0.0000 0.3311 0.3311
0.0000 0.6689 0.6689
0.5000 0.0000 0.5000
0.5000 0.3311 0.8311
0.5000 0.6689 0.1689


Record 8
V2GaNi | the Alexandria database | GGA-PBE | relaxed; symmetry = P4/mmm
1.0
3.5429 0.0000 0.0000
0.0000 3.5429 0.0000
0.0000 0.0000 4.0978
V Ga Ni
2 1 1
Direct
0.0000 0.5000 0.0000
0.5000 0.0000 0.0000
0.0000 0.0000 0.5000
0.5000 0.5000 0.5000


Electronic total energy across the listed records, respectively: -0.1303 -0.2529 -0.3493 -0.0498 -0.1640 -0.0763 -0.2188 -0.2574 hartree per atom.